Below is a geometry-optimized Tm3TlPb structure, with properties calculated at the PBE-GGA level.

Geometry as CIF:
```
data_Tm3TlPb
_chemical_formula_sum 'Tm24 Tl8 Pb8'
_symmetry_space_group_name_H-M 'C 1 2/c 1'
_symmetry_Int_Tables_number 15
_cell_length_a 14.432
_cell_length_b 8.790
_cell_length_c 11.315
_cell_angle_alpha 90.00
_cell_angle_beta 121.33
_cell_angle_gamma 90.00
loop_
_symmetry_equiv_pos_as_xyz
'x,y,z'
'-x,-y,-z'
'-x,y,-z+1/2'
'x,-y,z+1/2'
'x+1/2,y+1/2,z'
'-x+1/2,-y+1/2,-z'
'-x+1/2,y+1/2,-z+1/2'
'x+1/2,-y+1/2,z+1/2'
loop_
_atom_site_label
_atom_site_type_symbol
_atom_site_fract_x
_atom_site_fract_y
_atom_site_fract_z
Tm1 Tm 0.093 0.159 0.060
Tm2 Tm 0.131 0.307 0.783
Tm3 Tm 0.245 0.446 0.577
Tl1 Tl 0.238 0.379 0.310
Pb1 Pb 0.000 0.001 0.750
Pb2 Pb 0.000 0.500 0.000
```

Summary:
Magnetic moment in μB per formula unit: 0.00
Volume in Å³ per cell: 1226.05
Calculated total energy in eV per atom: -4.11

---

Below is a geometry-optimized CoRuSCl2 structure, with properties calculated at the PBE-GGA level.

Geometry as CIF:
```
data_CoRuSCl2
_chemical_formula_sum 'Co1 Ru1 S1 Cl2'
_symmetry_space_group_name_H-M 'P 4/m m m'
_symmetry_Int_Tables_number 123
_symmetry_space_group_name_Hall '-P 4 2'
_cell_length_a 4.946
_cell_length_b 4.946
_cell_length_c 4.391
_cell_angle_alpha 90.00
_cell_angle_beta 90.00
_cell_angle_gamma 90.00
loop_
_atom_site_label
_atom_site_type_symbol
_atom_site_fract_x
_atom_site_fract_y
_atom_site_fract_z
Co1 Co 0.000 0.000 0.000
Ru1 Ru 0.500 0.500 0.500
S1 S 0.500 0.500 0.000
Cl1 Cl 0.000 0.500 0.500
```

Summary:
Magnetic moment in μB per formula unit: 2.50
Volume in Å³ per cell: 107.40
Formation energy (no corrections) in meV per atom: 582
Calculated total energy in eV per atom: -4.26

---

Below is a geometry-optimized ZrTi4Pd7 structure, with properties calculated at the PBE-GGA level.

Geometry as CIF:
```
data_ZrTi4Pd7
_chemical_formula_sum 'Zr2 Ti8 Pd14'
_symmetry_space_group_name_H-M 'C 1 2/m 1'
_symmetry_Int_Tables_number 12
_cell_length_a 10.560
_cell_length_b 4.835
_cell_length_c 9.399
_cell_angle_alpha 90.00
_cell_angle_beta 120.26
_cell_angle_gamma 90.00
loop_
_symmetry_equiv_pos_as_xyz
'x,y,z'
'-x,-y,-z'
'-x,y,-z'
'x,-y,z'
'x+1/2,y+1/2,z'
'-x+1/2,-y+1/2,-z'
'-x+1/2,y+1/2,-z'
'x+1/2,-y+1/2,z'
loop_
_atom_site_label
_atom_site_type_symbol
_atom_site_fract_x
_atom_site_fract_y
_atom_site_fract_z
Zr1 Zr 0.000 0.000 0.000
Ti1 Ti 0.089 0.500 0.773
Ti2 Ti 0.242 0.500 0.333
Pd1 Pd 0.000 0.500 0.000
Pd2 Pd 0.060 0.000 0.349
Pd3 Pd 0.145 0.500 0.543
Pd4 Pd 0.217 0.000 0.911
```

Summary:
Magnetic moment in μB per formula unit: 0.00
Volume in Å³ per cell: 414.50
Calculated total energy in eV per atom: -6.74

---

Below is a geometry-optimized Tm2TiGe2 structure, with properties calculated at the PBE-GGA level.

Geometry as CIF:
```
data_Tm2TiGe2
_chemical_formula_sum 'Tm2 Ti1 Ge2'
_symmetry_space_group_name_H-M 'P 4/m m m'
_symmetry_Int_Tables_number 123
_symmetry_space_group_name_Hall '-P 4 2'
_cell_length_a 2.960
_cell_length_b 2.960
_cell_length_c 14.168
_cell_angle_alpha 90.00
_cell_angle_beta 90.00
_cell_angle_gamma 90.00
loop_
_atom_site_label
_atom_site_type_symbol
_atom_site_fract_x
_atom_site_fract_y
_atom_site_fract_z
Tm1 Tm 0.000 0.000 0.119
Ti1 Ti 0.000 0.000 0.500
Ge1 Ge 0.000 0.000 0.318
```

Summary:
Magnetic moment in μB per formula unit: 0.00
Volume in Å³ per cell: 124.10
Calculated total energy in eV per atom: -4.65

---

Below is a geometry-optimized FeSbS2 structure, with properties calculated at the PBE-GGA level.

Geometry as CIF:
```
data_FeSbS2
_chemical_formula_sum 'Fe3 Sb3 S6'
_symmetry_space_group_name_H-M 'R -3 m'
_symmetry_Int_Tables_number 166
_symmetry_space_group_name_Hall '-R 3 2"'
_cell_length_a 3.3835
_cell_length_b 3.3835
_cell_length_c 23.3349
_cell_angle_alpha 90.00
_cell_angle_beta 90.00
_cell_angle_gamma 120.00
loop_
_atom_site_label
_atom_site_type_symbol
_atom_site_fract_x
_atom_site_fract_y
_atom_site_fract_z
Fe1 Fe 0.0000 0.0000 0.0000
Sb1 Sb 0.0000 0.0000 0.5000
S1 S 0.0000 0.0000 0.3833
```

Summary:
Magnetic moment in μB per formula unit: 1.20
Volume in Å³ per cell: 231.35
Formation energy (no corrections) in meV per atom: -204
Calculated total energy in eV per atom: -5.41

---

Below is a geometry-optimized Tb4Dy4Er structure, with properties calculated at the PBE-GGA level.

Geometry as CIF:
```
data_Tb4Dy4Er
_chemical_formula_sum 'Tb4 Dy4 Er1'
_symmetry_space_group_name_H-M 'P -1'
_symmetry_Int_Tables_number 2
_cell_length_a 5.491
_cell_length_b 6.779
_cell_length_c 8.720
_cell_angle_alpha 110.80
_cell_angle_beta 108.21
_cell_angle_gamma 90.02
loop_
_symmetry_equiv_pos_as_xyz
'x,y,z'
'-x,-y,-z'
loop_
_atom_site_label
_atom_site_type_symbol
_atom_site_fract_x
_atom_site_fract_y
_atom_site_fract_z
Tb1 Tb 0.134 0.468 0.265
Tb2 Tb 0.281 0.207 0.563
Dy1 Dy 0.076 0.886 0.149
Dy2 Dy 0.362 0.797 0.727
Er1 Er 0.500 0.500 0.000
```

Summary:
Magnetic moment in μB per formula unit: 0.00
Volume in Å³ per cell: 285.96
Calculated total energy in eV per atom: -4.50

---

Below is a geometry-optimized AcSmP2 structure, with properties calculated at the PBE-GGA level.

Geometry as CIF:
```
data_AcSmP2
_chemical_formula_sum 'Ac3 Sm3 P6'
_symmetry_space_group_name_H-M 'R -3 m'
_symmetry_Int_Tables_number 166
_symmetry_space_group_name_Hall '-R 3 2"'
_cell_length_a 4.2769
_cell_length_b 4.2769
_cell_length_c 21.0007
_cell_angle_alpha 90.00
_cell_angle_beta 90.00
_cell_angle_gamma 120.00
loop_
_atom_site_label
_atom_site_type_symbol
_atom_site_fract_x
_atom_site_fract_y
_atom_site_fract_z
Ac1 Ac 0.0000 0.0000 0.0000
Sm1 Sm 0.0000 0.0000 0.5000
P1 P 0.0000 0.0000 0.2442
```

Summary:
Magnetic moment in μB per formula unit: 0.00
Volume in Å³ per cell: 332.67
Calculated total energy in eV per atom: -6.40

---

Below is a geometry-optimized Cr6Cl7 structure, with properties calculated at the PBE-GGA level.

Geometry as CIF:
```
data_Cr6Cl7
_chemical_formula_sum 'Cr18 Cl21'
_symmetry_space_group_name_H-M 'R -3 m'
_symmetry_Int_Tables_number 166
_symmetry_space_group_name_Hall '-R 3 2"'
_cell_length_a 6.4075
_cell_length_b 6.4075
_cell_length_c 30.1723
_cell_angle_alpha 90.00
_cell_angle_beta 90.00
_cell_angle_gamma 120.00
loop_
_atom_site_label
_atom_site_type_symbol
_atom_site_fract_x
_atom_site_fract_y
_atom_site_fract_z
Cr1 Cr 0.0000 0.0000 0.1517
Cr2 Cr 0.0000 0.0000 0.2264
Cr3 Cr 0.0000 0.0000 0.3346
Cl1 Cl 0.0000 0.0000 0.5000
Cl2 Cl 0.0014 0.5007 0.0549
```

Summary:
Magnetic moment in μB per formula unit: 7.06
Volume in Å³ per cell: 1072.78
Formation energy (no corrections) in meV per atom: 26
Calculated total energy in eV per atom: -5.41

---

Below is a geometry-optimized Cs3Sr2UTe6 structure, with properties calculated at the PBE-GGA level.

Geometry as CIF:
```
data_Cs3Sr2UTe6
_chemical_formula_sum 'Cs6 Sr4 U2 Te12'
_symmetry_space_group_name_H-M 'C 1 2/m 1'
_symmetry_Int_Tables_number 12
_cell_length_a 8.274
_cell_length_b 14.302
_cell_length_c 9.290
_cell_angle_alpha 90.00
_cell_angle_beta 107.25
_cell_angle_gamma 90.00
loop_
_symmetry_equiv_pos_as_xyz
'x,y,z'
'-x,-y,-z'
'-x,y,-z'
'x,-y,z'
'x+1/2,y+1/2,z'
'-x+1/2,-y+1/2,-z'
'-x+1/2,y+1/2,-z'
'x+1/2,-y+1/2,z'
loop_
_atom_site_label
_atom_site_type_symbol
_atom_site_fract_x
_atom_site_fract_y
_atom_site_fract_z
Cs1 Cs 0.000 0.000 0.000
Cs2 Cs 0.000 0.325 0.000
Sr1 Sr 0.000 0.166 0.500
U1 U 0.000 0.500 0.500
Te1 Te 0.216 0.349 0.693
Te2 Te 0.235 0.500 0.303
```

Summary:
Magnetic moment in μB per formula unit: 1.00
Volume in Å³ per cell: 1049.80
Formation energy (no corrections) in meV per atom: -1218
Calculated total energy in eV per atom: -4.22

---

Below is a geometry-optimized KIn2Se structure, with properties calculated at the PBE-GGA level.

Geometry as CIF:
```
data_KIn2Se
_chemical_formula_sum 'K2 In4 Se2'
_symmetry_space_group_name_H-M 'C 1 2/m 1'
_symmetry_Int_Tables_number 12
_cell_length_a 6.327
_cell_length_b 11.975
_cell_length_c 4.288
_cell_angle_alpha 90.00
_cell_angle_beta 131.87
_cell_angle_gamma 90.00
loop_
_symmetry_equiv_pos_as_xyz
'x,y,z'
'-x,-y,-z'
'-x,y,-z'
'x,-y,z'
'x+1/2,y+1/2,z'
'-x+1/2,-y+1/2,-z'
'-x+1/2,y+1/2,-z'
'x+1/2,-y+1/2,z'
loop_
_atom_site_label
_atom_site_type_symbol
_atom_site_fract_x
_atom_site_fract_y
_atom_site_fract_z
K1 K 0.000 0.000 0.000
In1 In 0.250 0.250 0.000
Se1 Se 0.000 0.500 0.000
```

Summary:
Magnetic moment in μB per formula unit: 0.00
Volume in Å³ per cell: 241.93
Formation energy (no corrections) in meV per atom: -290
Calculated total energy in eV per atom: -2.80

---

Below is a geometry-optimized Re4Ag structure, with properties calculated at the PBE-GGA level.

Geometry as CIF:
```
data_Re4Ag
_chemical_formula_sum 'Re4 Ag1'
_symmetry_space_group_name_H-M 'P m -3 m'
_symmetry_Int_Tables_number 221
_symmetry_space_group_name_Hall '-P 4 2 3'
_cell_length_a 4.629
_cell_length_b 4.629
_cell_length_c 4.629
_cell_angle_alpha 90.00
_cell_angle_beta 90.00
_cell_angle_gamma 90.00
loop_
_atom_site_label
_atom_site_type_symbol
_atom_site_fract_x
_atom_site_fract_y
_atom_site_fract_z
Re1 Re 0.000 0.000 0.000
Re2 Re 0.000 0.500 0.500
Ag1 Ag 0.500 0.500 0.500
```

Summary:
Magnetic moment in μB per formula unit: 0.19
Volume in Å³ per cell: 99.16
Calculated total energy in eV per atom: -7.16